Run A
## ReSbIrI2 (PBE-GGA)

Data for crystalline ReSbIrI2 at its relaxed geometry.

Results
For the volume, the calculation gives 145.4 Å³/cell. The spin magnetization comes out at 0.95 μB/f.u.

Geometry as CIF:
```
data_ReSbIrI2
_symmetry_space_group_name_H-M 'P 4/m m m'
_symmetry_Int_Tables_number 123
_symmetry_space_group_name_Hall '-P 4 2'
_cell_length_a 5.307
_cell_length_b 5.307
_cell_length_c 5.161
_cell_angle_alpha 90.00
_cell_angle_beta 90.00
_cell_angle_gamma 90.00
loop_
_atom_site_label
_atom_site_type_symbol
_atom_site_fract_x
_atom_site_fract_y
_atom_site_fract_z
Re1 Re 0.000 0.000 0.000
Sb1 Sb 0.000 0.000 0.500
Ir1 Ir 0.500 0.500 0.500
I1 I 0.000 0.500 0.000
```

Run B
## ReSbIrI2 (PBE-GGA)

Data for crystalline ReSbIrI2 at its relaxed geometry.

Results
For the volume, the calculation gives 156.2 Å³/cell. The spin magnetization comes out at 5.15 μB/f.u.

Geometry as CIF:
```
data_ReSbIrI2
_symmetry_space_group_name_H-M 'P 4/m m m'
_symmetry_Int_Tables_number 123
_symmetry_space_group_name_Hall '-P 4 2'
_cell_length_a 5.576
_cell_length_b 5.576
_cell_length_c 5.025
_cell_angle_alpha 90.00
_cell_angle_beta 90.00
_cell_angle_gamma 90.00
loop_
_atom_site_label
_atom_site_type_symbol
_atom_site_fract_x
_atom_site_fract_y
_atom_site_fract_z
Re1 Re 0.000 0.000 0.000
Sb1 Sb 0.500 0.500 0.000
Ir1 Ir 0.500 0.500 0.500
I1 I 0.000 0.500 0.500
```

Which one sits at the bottom of the stability order? run A does.

Run A
## ReTeIrI2 (PBE-GGA)

Data for crystalline ReTeIrI2 at its relaxed geometry.

Results
For the volume, the calculation gives 149.8 Å³/cell. The spin magnetization comes out at 1.70 μB/f.u.

Geometry as CIF:
```
data_ReTeIrI2
_symmetry_space_group_name_H-M 'P 4/m m m'
_symmetry_Int_Tables_number 123
_symmetry_space_group_name_Hall '-P 4 2'
_cell_length_a 5.432
_cell_length_b 5.432
_cell_length_c 5.076
_cell_angle_alpha 90.00
_cell_angle_beta 90.00
_cell_angle_gamma 90.00
loop_
_atom_site_label
_atom_site_type_symbol
_atom_site_fract_x
_atom_site_fract_y
_atom_site_fract_z
Re1 Re 0.000 0.000 0.000
Te1 Te 0.000 0.000 0.500
Ir1 Ir 0.500 0.500 0.500
I1 I 0.000 0.500 0.000
```

Run B
## ReTeIrI2 (PBE-GGA)

Data for crystalline ReTeIrI2 at its relaxed geometry.

Results
For the volume, the calculation gives 154.4 Å³/cell. The spin magnetization comes out at 4.86 μB/f.u.

Geometry as CIF:
```
data_ReTeIrI2
_symmetry_space_group_name_H-M 'P 4/m m m'
_symmetry_Int_Tables_number 123
_symmetry_space_group_name_Hall '-P 4 2'
_cell_length_a 5.430
_cell_length_b 5.430
_cell_length_c 5.237
_cell_angle_alpha 90.00
_cell_angle_beta 90.00
_cell_angle_gamma 90.00
loop_
_atom_site_label
_atom_site_type_symbol
_atom_site_fract_x
_atom_site_fract_y
_atom_site_fract_z
Re1 Re 0.000 0.000 0.000
Te1 Te 0.500 0.500 0.000
Ir1 Ir 0.500 0.500 0.500
I1 I 0.000 0.500 0.500
```

Which one sits at the bottom of the stability order? run A does.

Run A
## SbIrRuI2 (PBE-GGA)

Data for crystalline SbIrRuI2 at its relaxed geometry.

Results
For the volume, the calculation gives 154.4 Å³/cell. The spin magnetization comes out at 3.15 μB/f.u.

Geometry as CIF:
```
data_SbIrRuI2
_symmetry_space_group_name_H-M 'P 4/m m m'
_symmetry_Int_Tables_number 123
_symmetry_space_group_name_Hall '-P 4 2'
_cell_length_a 5.581
_cell_length_b 5.581
_cell_length_c 4.955
_cell_angle_alpha 90.00
_cell_angle_beta 90.00
_cell_angle_gamma 90.00
loop_
_atom_site_label
_atom_site_type_symbol
_atom_site_fract_x
_atom_site_fract_y
_atom_site_fract_z
Sb1 Sb 0.000 0.000 0.000
Ir1 Ir 0.000 0.000 0.500
Ru1 Ru 0.500 0.500 0.000
I1 I 0.000 0.500 0.500
```

Run B
## SbIrRuI2 (PBE-GGA)

Data for crystalline SbIrRuI2 at its relaxed geometry.

Results
For the volume, the calculation gives 139.4 Å³/cell. The spin magnetization comes out at 1.46 μB/f.u.

Geometry as CIF:
```
data_SbIrRuI2
_symmetry_space_group_name_H-M 'P 4/m m m'
_symmetry_Int_Tables_number 123
_symmetry_space_group_name_Hall '-P 4 2'
_cell_length_a 5.281
_cell_length_b 5.281
_cell_length_c 5.000
_cell_angle_alpha 90.00
_cell_angle_beta 90.00
_cell_angle_gamma 90.00
loop_
_atom_site_label
_atom_site_type_symbol
_atom_site_fract_x
_atom_site_fract_y
_atom_site_fract_z
Sb1 Sb 0.000 0.000 0.000
Ir1 Ir 0.500 0.500 0.000
Ru1 Ru 0.000 0.000 0.500
I1 I 0.000 0.500 0.500
```

Which one sits at the bottom of the stability order? run B does.